Ac2HoTeO8: relaxed, PBE.

Values from the calculation:
DFT total energy = -84.40 eV/f.u.
size of the total moment = 0.37 μB per cell
formation energy from raw total energies = -28.794 eV/f.u.

Cell: 5.3470 7.1227 5.3619 Å, 90.00 91.61 90.00°
Fractional coordinates of all 12 atoms:
1 Ac 0.0000 0.2451 0.0000
2 Ac 0.0000 0.7549 0.0000
3 Ho 0.5000 0.5000 0.5000
4 Te 0.5000 0.0000 0.5000
5 O 0.2049 0.5000 0.2061
6 O 0.2408 0.0000 0.2431
7 O 0.3310 0.2106 0.6701
8 O 0.3310 0.7894 0.6701
9 O 0.6690 0.2106 0.3299
10 O 0.6690 0.7894 0.3299
11 O 0.7592 0.0000 0.7569
12 O 0.7951 0.5000 0.7939

AcHoTeO6: relaxed, PBE.

Values from the calculation:
DFT total energy = -64.02 eV/f.u.
size of the total moment = 0.00 μB per cell
formation energy from raw total energies = -22.441 eV/f.u.

Cell: 5.6137 5.6137 5.2581 Å, 90.00 90.00 120.00°
Fractional coordinates of all 9 atoms:
1 Ac 0.0000 0.0000 0.0000
2 Ho 0.3333 0.6667 0.5000
3 Te 0.6667 0.3333 0.5000
4 O 0.3849 0.0390 0.7116
5 O 0.3849 0.3458 0.2884
6 O 0.6542 0.0390 0.2884
7 O 0.6542 0.6151 0.7116
8 O 0.9610 0.3458 0.7116
9 O 0.9610 0.6151 0.2884

AcHoTeO5: relaxed, PBE.

Values from the calculation:
DFT total energy = -56.78 eV/f.u.
size of the total moment = 0.00 μB per cell
formation energy from raw total energies = -20.163 eV/f.u.

Cell: 6.2141 6.2141 8.1528 Å, 106.40 106.40 99.23°
Fractional coordinates of all 16 atoms:
1 Ac 0.0586 0.9414 0.7500
2 Ac 0.9414 0.0586 0.2500
3 Ho 0.0000 0.5000 0.0000
4 Ho 0.5000 0.0000 0.5000
5 Te 0.4642 0.5358 0.7500
6 Te 0.5358 0.4642 0.2500
7 O 0.1904 0.8096 0.2500
8 O 0.1947 0.2330 0.0769
9 O 0.2330 0.1947 0.5769
10 O 0.2785 0.6341 0.8933
11 O 0.3659 0.7215 0.6067
12 O 0.6341 0.2785 0.3933
13 O 0.7215 0.3659 0.1067
14 O 0.7670 0.8053 0.4231
15 O 0.8053 0.7670 0.9231
16 O 0.8096 0.1904 0.7500

Ac2HoTiO6: relaxed, PBE.

Values from the calculation:
DFT total energy = -83.27 eV/f.u.
size of the total moment = 2.01 μB per cell
formation energy from raw total energies = -32.830 eV/f.u.

Cell: 5.9010 5.9564 10.1612 Å, 90.00 124.88 90.00°
Fractional coordinates of all 20 atoms:
1 Ac 0.2371 0.0479 0.2472
2 Ac 0.2371 0.4521 0.7472
3 Ac 0.7629 0.5479 0.2528
4 Ac 0.7629 0.9521 0.7528
5 Ho 0.5000 0.0000 0.0000
6 Ho 0.5000 0.5000 0.5000
7 Ti 0.0000 0.0000 0.5000
8 Ti 0.0000 0.5000 0.0000
9 O 0.1459 0.2148 0.9495
10 O 0.1459 0.2852 0.4495
11 O 0.2378 0.6960 0.9541
12 O 0.2378 0.8040 0.4541
13 O 0.3292 0.0220 0.7387
14 O 0.3292 0.4780 0.2387
15 O 0.6708 0.5220 0.7613
16 O 0.6708 0.9780 0.2613
17 O 0.7622 0.1960 0.5459
18 O 0.7622 0.3040 0.0459
19 O 0.8541 0.7148 0.5505
20 O 0.8541 0.7852 0.0505